VASP calculation (PBE) on a geometry-optimized Pm3YZn8 structure.

Properties
- uncorrected energy (eV/atom) = -2.89
- calculated formation energy (eV per atom) = -0.314

Lattice parameters (Å, degrees): 5.6417 5.6417 8.7002 90.00 90.00 120.00
Space group P3m1 (No. 156)
Unique sites:
Pm1 0.0000 0.0000 0.0000 x1
Pm2 0.0000 0.0000 0.3926 x1
Pm3 0.3333 0.6667 0.8950 x1
Y1 0.3333 0.6667 0.5048 x1
Zn1 0.9998 0.4999 0.2008 x3
Zn2 0.3370 0.1685 0.6961 x3
Zn3 0.6667 0.3333 0.4468 x1
Zn4 0.6667 0.3333 0.9494 x1


VASP calculation (PBE) on a geometry-optimized Tl4TeOs structure.

Properties
- uncorrected energy (eV/atom) = -2.96

Lattice parameters (Å, degrees): 8.8508 8.8508 8.8508 90.00 90.00 90.00
Space group F-43m (No. 216)
Unique sites:
Tl1 0.1247 0.1247 0.1247 x16
Te1 0.0000 0.0000 0.5000 x4
Os1 0.2500 0.2500 0.7500 x4


VASP calculation (PBE) on a geometry-optimized HoPd2Au4 structure.

Properties
- uncorrected energy (eV/atom) = -4.31
- calculated formation energy (eV per atom) = -0.303

Lattice parameters (Å, degrees): 8.0863 8.0863 8.5170 90.00 90.00 90.00
Space group I-42d (No. 122)
Unique sites:
Ho1 0.0000 0.0000 0.0000 x4
Pd1 0.1729 0.7500 0.6250 x8
Au1 0.0827 0.6514 0.9237 x16


VASP calculation (PBE) on a geometry-optimized SrLiBr structure.

Properties
- distance to the lowest polymorph of the same formula (meV per atom) = 324
- uncorrected energy (eV/atom) = -2.38

Lattice parameters (Å, degrees): 7.4337 7.4337 7.4337 90.00 90.00 90.00
Space group F-43m (No. 216)
Unique sites:
Sr1 0.0000 0.0000 0.0000 x4
Li1 0.0000 0.0000 0.5000 x4
Br1 0.2500 0.2500 0.7500 x4


VASP calculation (PBE) on a geometry-optimized CaMg3Cu structure.

Properties
- distance to the lowest polymorph of the same formula (meV per atom) = 0
- uncorrected energy (eV/atom) = -2.28
- calculated formation energy (eV per atom) = -0.107

Lattice parameters (Å, degrees): 8.9498 12.9722 4.0108 90.00 90.00 90.00
Space group Cmmm (No. 65)
Unique sites:
Ca1 0.0000 0.2086 0.0000 x4
Mg1 0.0000 0.0000 0.5000 x2
Mg2 0.0000 0.5000 0.0000 x2
Mg3 0.1993 0.3732 0.5000 x8
Cu1 0.1959 0.0000 0.0000 x4


VASP calculation (PBE) on a geometry-optimized Te4AsBr structure.

Properties
- distance to the lowest polymorph of the same formula (meV per atom) = 0
- uncorrected energy (eV/atom) = -3.19

Lattice parameters (Å, degrees): 12.3744 9.5556 8.3108 90.00 110.76 90.00
Space group C2/m (No. 12)
Unique sites:
Te1 0.0000 0.2208 0.0000 x4
Te2 0.0924 0.0000 0.2534 x4
Te3 0.1198 0.2194 0.5694 x8
As1 0.1350 0.0000 0.7830 x4
Br1 0.1397 0.5000 0.2594 x4